# Rb2NaZn2H5C4O14 (GGA-PBEsol, optimized geometry)
data_Rb2NaZn2H5C4O14
_cell_length_a 5.189
_cell_length_b 11.234
_cell_length_c 11.676
_cell_angle_alpha 90.00
_cell_angle_beta 114.40
_cell_angle_gamma 90.00
_space_group_name_H-M_alt 'P 1 21/c 1'
_space_group_IT_number 14
loop_
_space_group_symop_operation_xyz
'x,y,z'
'-x,-y,-z'
'-x,y+1/2,-z+1/2'
'x,-y+1/2,z+1/2'
loop_
_atom_site_label
_atom_site_type_symbol
_atom_site_fract_x
_atom_site_fract_y
_atom_site_fract_z
Rb1 Rb 0.040 0.166 0.076
Na1 Na 0.000 0.000 0.500
Zn1 Zn 0.329 0.608 0.794
H1 H 0.051 0.696 0.177
H2 H 0.380 0.668 0.222
H3 H 0.500 0.000 0.000
C1 C 0.288 0.071 0.817
C2 C 0.428 0.125 0.434
O1 O 0.056 0.062 0.832
O2 O 0.206 0.164 0.444
O3 O 0.246 0.714 0.249
O4 O 0.294 0.110 0.715
O5 O 0.335 0.615 0.966
O6 O 0.424 0.092 0.327
O7 O 0.473 0.541 0.591
# total magnetization	0.0	μB per formula unit
# calculated total energy	-0.232	Ha/atom